# 1
A plane-wave DFT calculation with PBE was carried out for NdHoTmPu after structural relaxation. Values from VASP.

## Properties
Its space group is F-43m (216). For the energy of formation, the calculation gives 202 meV per atom.

Geometry as Quantum ESPRESSO input:
```
&SYSTEM
  ibrav = 0, nat = 4, ntyp = 4
/
ATOMIC_SPECIES
Nd 144.24 Nd.upf
Ho 164.93 Ho.upf
Tm 168.93 Tm.upf
Pu 244.00 Pu.upf
ATOMIC_POSITIONS crystal
Nd 0.000 0.000 0.000
Ho 0.750 0.750 0.750
Tm 0.250 0.250 0.250
Pu 0.500 0.500 0.500
CELL_PARAMETERS angstrom
0.000 3.968 3.968
3.968 0.000 3.968
3.968 3.968 0.000
```

# 2
A plane-wave DFT calculation with PBE was carried out for Nd2Ho3Tm6Pu after structural relaxation. Values from VASP.

## Properties
Its space group is C2/m (12). For the energy of formation, the calculation gives 50 meV per atom.

Geometry as Quantum ESPRESSO input:
```
&SYSTEM
  ibrav = 0, nat = 12, ntyp = 4
/
ATOMIC_SPECIES
Nd 144.24 Nd.upf
Ho 164.93 Ho.upf
Tm 168.93 Tm.upf
Pu 244.00 Pu.upf
ATOMIC_POSITIONS crystal
Nd 0.167 0.833 0.000
Nd 0.833 0.167 0.000
Ho 0.000 0.000 0.500
Ho 0.333 0.667 0.500
Ho 0.667 0.333 0.500
Tm 0.088 0.416 0.749
Tm 0.255 0.255 0.251
Tm 0.416 0.088 0.749
Tm 0.584 0.912 0.251
Tm 0.745 0.745 0.749
Tm 0.912 0.584 0.251
Pu 0.500 0.500 0.000
CELL_PARAMETERS angstrom
3.052 -5.289 0.000
3.052 5.289 0.000
-2.043 0.000 11.425
```

# 3
A plane-wave DFT calculation with PBE was carried out for Nd3Ho2Tm6Pu after structural relaxation. Values from VASP.

## Properties
Its space group is C2/m (12). For the energy of formation, the calculation gives 43 meV per atom.

Geometry as Quantum ESPRESSO input:
```
&SYSTEM
  ibrav = 0, nat = 12, ntyp = 4
/
ATOMIC_SPECIES
Nd 144.24 Nd.upf
Ho 164.93 Ho.upf
Tm 168.93 Tm.upf
Pu 244.00 Pu.upf
ATOMIC_POSITIONS crystal
Nd 0.000 0.000 0.000
Nd 0.333 0.667 0.000
Nd 0.667 0.333 0.000
Ho 0.167 0.833 0.500
Ho 0.833 0.167 0.500
Tm 0.089 0.418 0.256
Tm 0.253 0.253 0.745
Tm 0.418 0.089 0.256
Tm 0.582 0.911 0.744
Tm 0.747 0.747 0.255
Tm 0.911 0.582 0.744
Pu 0.500 0.500 0.500
CELL_PARAMETERS angstrom
3.063 -5.306 0.000
3.063 5.306 0.000
-2.043 0.000 11.432
```

# 4
A plane-wave DFT calculation with PBE was carried out for Nd2Y6Ho3Pu after structural relaxation. Values from VASP.

## Properties
Its space group is C2/m (12). For the energy of formation, the calculation gives 53 meV per atom.

Geometry as Quantum ESPRESSO input:
```
&SYSTEM
  ibrav = 0, nat = 12, ntyp = 4
/
ATOMIC_SPECIES
Nd 144.24 Nd.upf
Y 88.91 Y.upf
Ho 164.93 Ho.upf
Pu 244.00 Pu.upf
ATOMIC_POSITIONS crystal
Nd 0.167 0.833 0.000
Nd 0.833 0.167 0.000
Y 0.087 0.416 0.749
Y 0.254 0.254 0.251
Y 0.416 0.087 0.749
Y 0.584 0.913 0.251
Y 0.746 0.746 0.749
Y 0.913 0.584 0.251
Ho 0.000 0.000 0.500
Ho 0.333 0.667 0.500
Ho 0.667 0.333 0.500
Pu 0.500 0.500 0.000
CELL_PARAMETERS angstrom
3.091 -5.357 0.000
3.091 5.357 0.000
-2.069 0.000 11.597
```

# 5
A plane-wave DFT calculation with PBE was carried out for RbNd2Ho after structural relaxation. Values from VASP.

## Properties
Its space group is R-3m (166). For the energy of formation, the calculation gives 245 meV per atom.

Geometry as Quantum ESPRESSO input:
```
&SYSTEM
  ibrav = 0, nat = 4, ntyp = 3
/
ATOMIC_SPECIES
Rb 85.47 Rb.upf
Nd 144.24 Nd.upf
Ho 164.93 Ho.upf
ATOMIC_POSITIONS crystal
Rb 0.000 0.000 0.000
Nd 0.097 0.097 0.097
Nd 0.903 0.903 0.903
Ho 0.500 0.500 0.500
CELL_PARAMETERS angstrom
1.845 1.065 13.514
-1.845 1.065 13.514
0.000 -2.131 13.514
```

# 6
A plane-wave DFT calculation with PBE was carried out for Rb3NdHo2S6 after structural relaxation. Values from VASP.

## Properties
As for the formation energy without anion corrections: -1842 meV per atom. Its space group is C2/m (12).

Geometry as Quantum ESPRESSO input:
```
&SYSTEM
  ibrav = 0, nat = 12, ntyp = 4
/
ATOMIC_SPECIES
Rb 85.47 Rb.upf
Nd 144.24 Nd.upf
Ho 164.93 Ho.upf
S 32.06 S.upf
ATOMIC_POSITIONS crystal
Rb 0.000 0.000 0.000
Rb 0.335 0.665 0.000
Rb 0.665 0.335 0.000
Nd 0.500 0.500 0.500
Ho 0.167 0.833 0.500
Ho 0.833 0.167 0.500
S 0.093 0.436 0.307
S 0.222 0.222 0.693
S 0.436 0.093 0.307
S 0.564 0.907 0.693
S 0.778 0.778 0.307
S 0.907 0.564 0.693
CELL_PARAMETERS angstrom
3.565 -6.175 0.000
3.565 6.175 0.000
-2.379 0.000 7.699
```

# 7
A plane-wave DFT calculation with PBE was carried out for Rb3NdHo2Se6 after structural relaxation. Values from VASP.

## Properties
As for the formation energy without anion corrections: -1733 meV per atom. Its space group is C2/m (12).

Geometry as Quantum ESPRESSO input:
```
&SYSTEM
  ibrav = 0, nat = 12, ntyp = 4
/
ATOMIC_SPECIES
Rb 85.47 Rb.upf
Nd 144.24 Nd.upf
Ho 164.93 Ho.upf
Se 78.96 Se.upf
ATOMIC_POSITIONS crystal
Rb 0.000 0.000 0.000
Rb 0.335 0.665 0.000
Rb 0.665 0.335 0.000
Nd 0.500 0.500 0.500
Ho 0.167 0.833 0.500
Ho 0.833 0.167 0.500
Se 0.092 0.434 0.303
Se 0.223 0.223 0.696
Se 0.434 0.092 0.303
Se 0.566 0.908 0.697
Se 0.777 0.777 0.304
Se 0.908 0.566 0.697
CELL_PARAMETERS angstrom
3.704 -6.416 0.000
3.704 6.416 0.000
-2.471 0.000 8.004
```

# 8
A plane-wave DFT calculation with PBE was carried out for Rb4NdHo3Se8 after structural relaxation. Values from VASP.

## Properties
As for the formation energy without anion corrections: -1732 meV per atom. Its space group is R-3m (166).

Geometry as Quantum ESPRESSO input:
```
&SYSTEM
  ibrav = 0, nat = 16, ntyp = 4
/
ATOMIC_SPECIES
Rb 85.47 Rb.upf
Nd 144.24 Nd.upf
Ho 164.93 Ho.upf
Se 78.96 Se.upf
ATOMIC_POSITIONS crystal
Rb 0.000 0.000 0.000
Rb 0.000 0.500 0.500
Rb 0.500 0.000 0.500
Rb 0.500 0.500 0.000
Nd 0.500 0.500 0.500
Ho 0.000 0.000 0.500
Ho 0.000 0.500 0.000
Ho 0.500 0.000 0.000
Se 0.224 0.736 0.736
Se 0.231 0.231 0.231
Se 0.264 0.264 0.776
Se 0.264 0.776 0.264
Se 0.736 0.224 0.736
Se 0.736 0.736 0.224
Se 0.769 0.769 0.769
Se 0.776 0.264 0.264
CELL_PARAMETERS angstrom
4.265 2.462 8.000
-4.265 2.462 8.000
0.000 -4.924 8.000
```

# 9
A plane-wave DFT calculation with PBE was carried out for Rb4Nd3HoSe8 after structural relaxation. Values from VASP.

## Properties
As for the formation energy without anion corrections: -1732 meV per atom. Its space group is R-3m (166).

Geometry as Quantum ESPRESSO input:
```
&SYSTEM
  ibrav = 0, nat = 16, ntyp = 4
/
ATOMIC_SPECIES
Rb 85.47 Rb.upf
Nd 144.24 Nd.upf
Ho 164.93 Ho.upf
Se 78.96 Se.upf
ATOMIC_POSITIONS crystal
Rb 0.000 0.000 0.000
Rb 0.000 0.500 0.500
Rb 0.500 0.000 0.500
Rb 0.500 0.500 0.000
Nd 0.000 0.000 0.500
Nd 0.000 0.500 0.000
Nd 0.500 0.000 0.000
Ho 0.500 0.500 0.500
Se 0.234 0.234 0.234
Se 0.241 0.729 0.729
Se 0.271 0.271 0.759
Se 0.271 0.759 0.271
Se 0.729 0.241 0.729
Se 0.729 0.729 0.241
Se 0.759 0.271 0.271
Se 0.766 0.766 0.766
CELL_PARAMETERS angstrom
4.341 2.506 8.021
-4.341 2.506 8.021
0.000 -5.013 8.021
```

# 10
A plane-wave DFT calculation with PBE was carried out for Rb2NdHoSe4 after structural relaxation. Values from VASP.

## Properties
As for the formation energy without anion corrections: -1731 meV per atom. Its space group is P2/m (10).

Geometry as Quantum ESPRESSO input:
```
&SYSTEM
  ibrav = 0, nat = 8, ntyp = 4
/
ATOMIC_SPECIES
Rb 85.47 Rb.upf
Nd 144.24 Nd.upf
Ho 164.93 Ho.upf
Se 78.96 Se.upf
ATOMIC_POSITIONS crystal
Rb 0.000 0.000 0.000
Rb 0.500 0.500 0.000
Nd 0.000 0.500 0.500
Ho 0.500 0.000 0.500
Se 0.241 0.000 0.699
Se 0.276 0.500 0.304
Se 0.724 0.500 0.696
Se 0.759 0.000 0.301
CELL_PARAMETERS angstrom
7.454 0.000 0.000
0.000 4.303 0.000
-2.483 0.000 8.010
```

# 11
A plane-wave DFT calculation with PBE was carried out for Rb3Nd3HoTe8 after structural relaxation. Values from VASP.

## Properties
As for the formation energy without anion corrections: -1320 meV per atom. Its space group is R-3m (166).

Geometry as Quantum ESPRESSO input:
```
&SYSTEM
  ibrav = 0, nat = 15, ntyp = 4
/
ATOMIC_SPECIES
Rb 85.47 Rb.upf
Nd 144.24 Nd.upf
Ho 164.93 Ho.upf
Te 127.60 Te.upf
ATOMIC_POSITIONS crystal
Rb 0.000 0.500 0.500
Rb 0.500 0.000 0.500
Rb 0.500 0.500 0.000
Nd 0.000 0.000 0.500
Nd 0.000 0.500 0.000
Nd 0.500 0.000 0.000
Ho 0.500 0.500 0.500
Te 0.235 0.235 0.235
Te 0.241 0.730 0.730
Te 0.270 0.270 0.759
Te 0.270 0.759 0.270
Te 0.730 0.241 0.730
Te 0.730 0.730 0.241
Te 0.759 0.270 0.270
Te 0.765 0.765 0.765
CELL_PARAMETERS angstrom
4.523 2.611 8.851
-4.523 2.611 8.851
0.000 -5.222 8.851
```

# 12
A plane-wave DFT calculation with PBE was carried out for Rb3Nd2HoTe6 after structural relaxation. Values from VASP.

## Properties
As for the formation energy without anion corrections: -1396 meV per atom. Its space group is C2/m (12).

Geometry as Quantum ESPRESSO input:
```
&SYSTEM
  ibrav = 0, nat = 12, ntyp = 4
/
ATOMIC_SPECIES
Rb 85.47 Rb.upf
Nd 144.24 Nd.upf
Ho 164.93 Ho.upf
Te 127.60 Te.upf
ATOMIC_POSITIONS crystal
Rb 0.000 0.000 0.000
Rb 0.331 0.669 0.000
Rb 0.669 0.331 0.000
Nd 0.166 0.834 0.500
Nd 0.834 0.166 0.500
Ho 0.500 0.500 0.500
Te 0.107 0.433 0.297
Te 0.243 0.243 0.703
Te 0.433 0.107 0.297
Te 0.567 0.893 0.703
Te 0.757 0.757 0.297
Te 0.893 0.567 0.703
CELL_PARAMETERS angstrom
3.988 -6.908 0.000
3.988 6.908 0.000
-2.661 0.000 8.566
```

# 13
A plane-wave DFT calculation with PBE was carried out for Rb3NdHo2Te6 after structural relaxation. Values from VASP.

## Properties
As for the formation energy without anion corrections: -1385 meV per atom. Its space group is C2/m (12).

Geometry as Quantum ESPRESSO input:
```
&SYSTEM
  ibrav = 0, nat = 12, ntyp = 4
/
ATOMIC_SPECIES
Rb 85.47 Rb.upf
Nd 144.24 Nd.upf
Ho 164.93 Ho.upf
Te 127.60 Te.upf
ATOMIC_POSITIONS crystal
Rb 0.000 0.000 0.000
Rb 0.336 0.664 0.000
Rb 0.664 0.336 0.000
Nd 0.500 0.500 0.500
Ho 0.167 0.833 0.500
Ho 0.833 0.167 0.500
Te 0.091 0.433 0.299
Te 0.225 0.225 0.700
Te 0.433 0.091 0.299
Te 0.567 0.909 0.701
Te 0.775 0.775 0.300
Te 0.909 0.567 0.701
CELL_PARAMETERS angstrom
3.947 -6.838 0.000
3.947 6.838 0.000
-2.634 0.000 8.559
```

# 14
A plane-wave DFT calculation with PBE was carried out for RbNd2Ho3Te6 after structural relaxation. Values from VASP.

## Properties
As for the formation energy without anion corrections: -1314 meV per atom. Its space group is C2/m (12).

Geometry as Quantum ESPRESSO input:
```
&SYSTEM
  ibrav = 0, nat = 12, ntyp = 4
/
ATOMIC_SPECIES
Rb 85.47 Rb.upf
Nd 144.24 Nd.upf
Ho 164.93 Ho.upf
Te 127.60 Te.upf
ATOMIC_POSITIONS crystal
Rb 0.000 0.000 0.000
Nd 0.326 0.326 0.647
Nd 0.674 0.674 0.353
Ho 0.000 0.000 0.500
Ho 0.337 0.337 0.175
Ho 0.663 0.663 0.825
Te 0.161 0.161 0.594
Te 0.177 0.177 0.081
Te 0.500 0.500 0.274
Te 0.500 0.500 0.726
Te 0.823 0.823 0.919
Te 0.839 0.839 0.406
CELL_PARAMETERS angstrom
9.908 -2.193 0.000
9.908 2.193 0.000
-2.465 0.000 8.914
```

# 15
A plane-wave DFT calculation with PBE was carried out for NdHo2Re after structural relaxation. Values from VASP.

## Properties
Its space group is R-3m (166). For the energy of formation, the calculation gives 802 meV per atom.

Geometry as Quantum ESPRESSO input:
```
&SYSTEM
  ibrav = 0, nat = 4, ntyp = 3
/
ATOMIC_SPECIES
Nd 144.24 Nd.upf
Ho 164.93 Ho.upf
Re 186.21 Re.upf
ATOMIC_POSITIONS crystal
Nd 0.000 0.000 0.000
Ho 0.422 0.422 0.422
Ho 0.578 0.578 0.578
Re 0.500 0.500 0.500
CELL_PARAMETERS angstrom
1.623 0.937 11.409
-1.623 0.937 11.409
0.000 -1.874 11.409
```

# 16
A plane-wave DFT calculation with PBE was carried out for NdHoRe4 after structural relaxation. Values from VASP.

## Properties
Its space group is F-43m (216). For the energy of formation, the calculation gives -62 meV per atom.

Geometry as Quantum ESPRESSO input:
```
&SYSTEM
  ibrav = 0, nat = 6, ntyp = 3
/
ATOMIC_SPECIES
Nd 144.24 Nd.upf
Ho 164.93 Ho.upf
Re 186.21 Re.upf
ATOMIC_POSITIONS crystal
Nd 0.000 0.000 0.000
Ho 0.750 0.750 0.750
Re 0.375 0.375 0.375
Re 0.375 0.375 0.875
Re 0.375 0.875 0.375
Re 0.875 0.375 0.375
CELL_PARAMETERS angstrom
0.000 3.861 3.861
3.861 0.000 3.861
3.861 3.861 0.000
```

# 17
A plane-wave DFT calculation with PBE was carried out for Nd3HoRh after structural relaxation. Values from VASP.

## Properties
Its space group is Pm-3m (221). For the energy of formation, the calculation gives -97 meV per atom.

Geometry as Quantum ESPRESSO input:
```
&SYSTEM
  ibrav = 0, nat = 5, ntyp = 3
/
ATOMIC_SPECIES
Nd 144.24 Nd.upf
Ho 164.93 Ho.upf
Rh 102.91 Rh.upf
ATOMIC_POSITIONS crystal
Nd 0.000 0.000 0.500
Nd 0.000 0.500 0.000
Nd 0.500 0.000 0.000
Ho 0.500 0.500 0.500
Rh 0.000 0.000 0.000
CELL_PARAMETERS angstrom
5.566 0.000 0.000
0.000 5.566 0.000
0.000 0.000 5.566
```

# 18
A plane-wave DFT calculation with PBE was carried out for Nd4HoRh4 after structural relaxation. Values from VASP.

## Properties
Its space group is P4_2/n (86). For the energy of formation, the calculation gives -581 meV per atom.

Geometry as Quantum ESPRESSO input:
```
&SYSTEM
  ibrav = 0, nat = 18, ntyp = 3
/
ATOMIC_SPECIES
Nd 144.24 Nd.upf
Ho 164.93 Ho.upf
Rh 102.91 Rh.upf
ATOMIC_POSITIONS crystal
Nd 0.058 0.669 0.152
Nd 0.169 0.942 0.652
Nd 0.331 0.558 0.652
Nd 0.442 0.831 0.152
Nd 0.558 0.169 0.848
Nd 0.669 0.442 0.348
Nd 0.831 0.058 0.348
Nd 0.942 0.331 0.848
Ho 0.250 0.250 0.250
Ho 0.750 0.750 0.750
Rh 0.020 0.630 0.645
Rh 0.130 0.980 0.145
Rh 0.370 0.520 0.145
Rh 0.480 0.870 0.645
Rh 0.520 0.130 0.355
Rh 0.630 0.480 0.855
Rh 0.870 0.020 0.855
Rh 0.980 0.370 0.355
CELL_PARAMETERS angstrom
8.910 0.000 0.000
0.000 8.910 0.000
0.000 0.000 5.789
```

# 19
A plane-wave DFT calculation with PBE was carried out for Nd2HoRh2 after structural relaxation. Values from VASP.

## Properties
Its offset from the most stable computed form is 0 meV per atom. Its space group is C2/m (12). For the energy of formation, the calculation gives -627 meV per atom.

Geometry as Quantum ESPRESSO input:
```
&SYSTEM
  ibrav = 0, nat = 5, ntyp = 3
/
ATOMIC_SPECIES
Nd 144.24 Nd.upf
Ho 164.93 Ho.upf
Rh 102.91 Rh.upf
ATOMIC_POSITIONS crystal
Nd 0.195 0.195 0.195
Nd 0.805 0.805 0.805
Ho 0.000 0.000 0.500
Rh 0.499 0.499 0.218
Rh 0.501 0.501 0.782
CELL_PARAMETERS angstrom
5.662 -2.080 0.000
5.662 2.080 0.000
-3.552 0.000 5.262
```

# 20
A plane-wave DFT calculation with PBE was carried out for NdHo2Rh3 after structural relaxation. Values from VASP.

## Properties
Its space group is P-3m1 (164). For the energy of formation, the calculation gives -806 meV per atom.

Geometry as Quantum ESPRESSO input:
```
&SYSTEM
  ibrav = 0, nat = 6, ntyp = 3
/
ATOMIC_SPECIES
Nd 144.24 Nd.upf
Ho 164.93 Ho.upf
Rh 102.91 Rh.upf
ATOMIC_POSITIONS crystal
Nd 0.000 0.000 0.000
Ho 0.333 0.667 0.663
Ho 0.667 0.333 0.337
Rh 0.000 0.000 0.500
Rh 0.333 0.667 0.177
Rh 0.667 0.333 0.823
CELL_PARAMETERS angstrom
4.883 0.000 0.000
-2.441 4.228 0.000
0.000 0.000 5.994
```

| no. | V (Å³/f.u.) |
| --- | --- |
| 1 | 124.9 |
| 2 | 368.8 |
| 3 | 371.6 |
| 4 | 384.0 |
| 5 | 159.4 |
| 6 | 338.9 |
| 7 | 380.4 |
| 8 | 504.1 |
| 9 | 523.6 |
| 10 | 256.9 |
| 11 | 627.3 |
| 12 | 472.0 |
| 13 | 462.0 |
| 14 | 387.4 |
| 15 | 104.1 |
| 16 | 115.1 |
| 17 | 172.4 |
| 18 | 229.8 |
| 19 | 124.0 |
| 20 | 123.8 |